# GGA-PBE Mg6TlSn5, optimized geometry
# Fermi-level density of states (states/eV per cell): 4.2
# E_tot (eV per atom): -2.758
data_Mg6TlSn5
_chemical_formula_sum 'Mg6 Tl1 Sn5'
_symmetry_space_group_name_H-M 'P -1'
_symmetry_Int_Tables_number 2
_symmetry_space_group_name_Hall '-P 1'
_cell_length_a 5.205
_cell_length_b 7.276
_cell_length_c 8.724
_cell_angle_alpha 114.17
_cell_angle_beta 102.50
_cell_angle_gamma 90.83
loop_
_atom_site_label
_atom_site_fract_x
_atom_site_fract_y
_atom_site_fract_z
_atom_site_occupancy
Mg1 0.000 0.245 0.000 1
Mg2 0.351 0.079 0.664 1
Mg3 0.352 0.585 0.664 1
Tl1 0.500 0.500 0.000 1
Sn1 0.144 0.665 0.330 1
Sn2 0.149 0.168 0.334 1
Sn3 0.500 0.000 0.000 1